1.
The following is a PBE with a Hubbard U calculation of a geometry-optimized MoF structure, from the Alexandria database.

Cell: 10.0977 10.0977 3.0908 Å, 90.00 90.00 90.00°
Sites, in units of the cell vectors:
Mo (0.0851, 0.2979, 0.0000)
Mo (0.1699, 0.6998, 0.5000)
Mo (0.2979, 0.9149, 0.0000)
Mo (0.3002, 0.1699, 0.5000)
Mo (0.6998, 0.8301, 0.5000)
Mo (0.7021, 0.0851, 0.0000)
Mo (0.8301, 0.3002, 0.5000)
Mo (0.9149, 0.7021, 0.0000)
F (0.1261, 0.4459, 0.5000)
F (0.2935, 0.6247, 0.0000)
F (0.3753, 0.2935, 0.0000)
F (0.4459, 0.8739, 0.5000)
F (0.5541, 0.1261, 0.5000)
F (0.6247, 0.7065, 0.0000)
F (0.7065, 0.3753, 0.0000)
F (0.8739, 0.5541, 0.5000)

Summary:
The value obtained for the energy above the most stable polymorph in this dataset is 305 meV per atom.

=====

2.
The following is a PBE with a Hubbard U calculation of a geometry-optimized MoF structure, from the Alexandria database.

Cell: 3.5206 3.5206 3.5206 Å, 60.00 60.00 60.00°
Sites, in units of the cell vectors:
Mo (0.0000, 0.0000, 0.0000)
F (0.2500, 0.2500, 0.2500)

Summary:
The value obtained for the energy above the most stable polymorph in this dataset is 1248 meV per atom.

=====

3.
The following is a PBE with a Hubbard U calculation of a geometry-optimized MoF structure, from the Alexandria database.

Cell: 8.3125 8.3125 3.1797 Å, 90.00 90.00 90.00°
Sites, in units of the cell vectors:
Mo (0.1259, 0.1259, 0.0000)
Mo (0.3741, 0.6259, 0.5000)
Mo (0.6259, 0.3741, 0.5000)
Mo (0.8741, 0.8741, 0.0000)
F (0.2490, 0.7510, 0.0000)
F (0.2510, 0.2510, 0.5000)
F (0.7490, 0.7490, 0.5000)
F (0.7510, 0.2490, 0.0000)

Summary:
The value obtained for the energy above the most stable polymorph in this dataset is 366 meV per atom.

=====

4.
The following is a PBE with a Hubbard U calculation of a geometry-optimized MoF structure, from the Alexandria database.

Cell: 7.6387 4.2578 7.8689 Å, 90.00 90.00 90.00°
Sites, in units of the cell vectors:
Mo (0.0000, 0.2290, 0.0000)
Mo (0.2103, 0.1113, 0.2834)
Mo (0.2897, 0.8887, 0.7834)
Mo (0.5000, 0.7710, 0.5000)
Mo (0.7103, 0.8887, 0.7834)
Mo (0.7897, 0.1113, 0.2834)
F (0.0000, 0.9174, 0.7373)
F (0.2460, 0.6082, 0.3088)
F (0.2540, 0.3918, 0.8088)
F (0.5000, 0.0826, 0.2373)
F (0.7460, 0.3918, 0.8088)
F (0.7540, 0.6082, 0.3088)

Summary:
The value obtained for the energy above the most stable polymorph in this dataset is 229 meV per atom.

=====

5.
The following is a PBE with a Hubbard U calculation of a geometry-optimized MoF3 structure, from the Alexandria database.

Cell: 3.8831 3.8831 3.8831 Å, 60.00 60.00 60.00°
Sites, in units of the cell vectors:
Mo (0.0000, 0.0000, 0.0000)
F (0.2500, 0.2500, 0.2500)
F (0.5000, 0.5000, 0.5000)
F (0.7500, 0.7500, 0.7500)

Summary:
The value obtained for the energy above the most stable polymorph in this dataset is 987 meV per atom.

=====

6.
The following is a PBE with a Hubbard U calculation of a geometry-optimized MoF5 structure, from the Alexandria database.

Cell: 5.6161 9.7560 7.7596 Å, 90.00 112.90 90.00°
Sites, in units of the cell vectors:
Mo (0.2409, 0.2499, 0.4929)
Mo (0.2409, 0.2501, 0.9929)
Mo (0.7591, 0.7499, 0.0071)
Mo (0.7591, 0.7501, 0.5071)
F (0.0430, 0.0978, 0.3667)
F (0.0430, 0.4022, 0.8667)
F (0.0745, 0.6594, 0.5558)
F (0.0745, 0.8406, 0.0558)
F (0.2408, 0.1802, 0.7429)
F (0.2408, 0.3198, 0.2429)
F (0.4390, 0.0985, 0.1201)
F (0.4390, 0.4015, 0.6201)
F (0.4441, 0.6590, 0.9592)
F (0.4441, 0.8410, 0.4592)
F (0.5559, 0.1590, 0.5408)
F (0.5559, 0.3410, 0.0408)
F (0.5610, 0.5985, 0.3799)
F (0.5610, 0.9015, 0.8799)
F (0.7592, 0.6802, 0.7571)
F (0.7592, 0.8198, 0.2571)
F (0.9255, 0.1594, 0.9442)
F (0.9255, 0.3406, 0.4442)
F (0.9570, 0.5978, 0.1333)
F (0.9570, 0.9022, 0.6333)

Summary:
The value obtained for the energy above the most stable polymorph in this dataset is 46 meV per atom.

=====

7.
The following is a PBE with a Hubbard U calculation of a geometry-optimized MoF6 structure, from the Alexandria database.

Cell: 5.2255 5.2255 4.9510 Å, 90.00 90.00 120.00°
Sites, in units of the cell vectors:
Mo (0.0000, 0.0000, 0.0000)
F (0.0000, 0.2917, 0.7819)
F (0.0000, 0.7083, 0.2181)
F (0.2917, 0.0000, 0.7819)
F (0.2917, 0.2917, 0.2181)
F (0.7083, 0.0000, 0.2181)
F (0.7083, 0.7083, 0.7819)

Summary:
The value obtained for the energy above the most stable polymorph in this dataset is 4 meV per atom.

=====

8.
The following is a PBE with a Hubbard U calculation of a geometry-optimized MoF structure, from the Alexandria database.

Cell: 6.7247 6.7247 6.7247 Å, 109.47 109.47 109.47°
Sites, in units of the cell vectors:
Mo (0.0000, 0.0000, 0.2892)
Mo (0.0000, 0.2892, 0.0000)
Mo (0.2892, 0.0000, 0.0000)
Mo (0.7108, 0.7108, 0.7108)
F (0.0000, 0.0000, 0.6086)
F (0.0000, 0.6086, 0.0000)
F (0.3914, 0.3914, 0.3914)
F (0.6086, 0.0000, 0.0000)

Summary:
The value obtained for the energy above the most stable polymorph in this dataset is 542 meV per atom.

=====

9.
The following is a PBE with a Hubbard U calculation of a geometry-optimized MoF6 structure, from the Alexandria database.

Cell: 5.6549 5.6549 5.6549 Å, 109.47 109.47 109.47°
Sites, in units of the cell vectors:
Mo (0.0000, 0.0000, 0.0000)
F (0.0000, 0.2860, 0.2860)
F (0.0000, 0.7140, 0.7140)
F (0.2860, 0.0000, 0.2860)
F (0.2860, 0.2860, 0.0000)
F (0.7140, 0.0000, 0.7140)
F (0.7140, 0.7140, 0.0000)

Summary:
The value obtained for the energy above the most stable polymorph in this dataset is 6 meV per atom.

=====

10.
The following is a PBE with a Hubbard U calculation of a geometry-optimized MoNF structure, from the Alexandria database.

Cell: 4.3289 3.0988 12.7395 Å, 90.00 90.00 90.00°
Sites, in units of the cell vectors:
Mo (0.2064, 0.2500, 0.0493)
Mo (0.2936, 0.7500, 0.5493)
Mo (0.7064, 0.2500, 0.4507)
Mo (0.7936, 0.7500, 0.9507)
N (0.2152, 0.2500, 0.4502)
N (0.2848, 0.7500, 0.9502)
N (0.7152, 0.2500, 0.0498)
N (0.7848, 0.7500, 0.5498)
F (0.2291, 0.7500, 0.1646)
F (0.2709, 0.2500, 0.6646)
F (0.7291, 0.7500, 0.3354)
F (0.7709, 0.2500, 0.8354)

=====

11.
The following is a PBE with a Hubbard U calculation of a geometry-optimized MoN3F structure, from the Alexandria database.

Cell: 3.9605 3.9605 3.9605 Å, 90.00 90.00 90.00°
Sites, in units of the cell vectors:
Mo (0.0000, 0.0000, 0.0000)
N (0.0000, 0.0000, 0.5000)
N (0.0000, 0.5000, 0.0000)
N (0.5000, 0.0000, 0.0000)
F (0.5000, 0.5000, 0.5000)

=====

12.
The following is a PBE with a Hubbard U calculation of a geometry-optimized MoNF3 structure, from the Alexandria database.

Cell: 4.0560 4.0560 4.0560 Å, 90.00 90.00 90.00°
Sites, in units of the cell vectors:
Mo (0.0000, 0.0000, 0.0000)
N (0.5000, 0.5000, 0.5000)
F (0.0000, 0.0000, 0.5000)
F (0.0000, 0.5000, 0.0000)
F (0.5000, 0.0000, 0.0000)

=====

13.
The following is a PBE with a Hubbard U calculation of a geometry-optimized NaMoN2F structure, from the Alexandria database.

Cell: 3.9386 3.9386 4.2440 Å, 90.00 90.00 90.00°
Sites, in units of the cell vectors:
Na (0.0000, 0.0000, 0.0000)
Mo (0.5000, 0.5000, 0.5000)
N (0.0000, 0.5000, 0.5000)
N (0.5000, 0.0000, 0.5000)
F (0.5000, 0.5000, 0.0000)

Summary:
The value obtained for the energy above the most stable polymorph in this dataset is 0 meV per atom.

=====

14.
The following is a PBE with a Hubbard U calculation of a geometry-optimized NaMoN2F structure, from the Alexandria database.

Cell: 4.1304 4.1304 3.7867 Å, 90.00 90.00 90.00°
Sites, in units of the cell vectors:
Na (0.0000, 0.0000, 0.0000)
Mo (0.5000, 0.5000, 0.5000)
N (0.0000, 0.5000, 0.0000)
N (0.5000, 0.0000, 0.0000)
F (0.0000, 0.0000, 0.5000)

Summary:
The value obtained for the energy above the most stable polymorph in this dataset is 1725 meV per atom.

=====

15.
The following is a PBE with a Hubbard U calculation of a geometry-optimized MoNO2F structure, from the Alexandria database.

Cell: 3.7546 3.7546 3.5874 Å, 90.00 90.00 90.00°
Sites, in units of the cell vectors:
Mo (0.0000, 0.0000, 0.0000)
N (0.5000, 0.5000, 0.0000)
O (0.0000, 0.5000, 0.5000)
O (0.5000, 0.0000, 0.5000)
F (0.5000, 0.5000, 0.5000)

=====

16.
The following is a PBE with a Hubbard U calculation of a geometry-optimized MoNO2F structure, from the Alexandria database.

Cell: 3.8434 3.8434 4.1090 Å, 90.00 90.00 90.00°
Sites, in units of the cell vectors:
Mo (0.0000, 0.0000, 0.0000)
N (0.0000, 0.0000, 0.5000)
O (0.0000, 0.5000, 0.0000)
O (0.5000, 0.0000, 0.0000)
F (0.5000, 0.5000, 0.5000)

=====

17.
The following is a PBE with a Hubbard U calculation of a geometry-optimized MoNO2F structure, from the Alexandria database.

Cell: 3.7483 3.7483 3.5692 Å, 90.00 90.00 90.00°
Sites, in units of the cell vectors:
Mo (0.0000, 0.0000, 0.0000)
N (0.5000, 0.5000, 0.5000)
O (0.0000, 0.5000, 0.5000)
O (0.5000, 0.0000, 0.5000)
F (0.5000, 0.5000, 0.0000)

=====

18.
The following is a PBE with a Hubbard U calculation of a geometry-optimized MoOsNF2 structure, from the Alexandria database.

Cell: 4.3542 4.3542 3.7782 Å, 90.00 90.00 90.00°
Sites, in units of the cell vectors:
Mo (0.0000, 0.0000, 0.0000)
Os (0.5000, 0.5000, 0.5000)
N (0.5000, 0.5000, 0.0000)
F (0.0000, 0.5000, 0.5000)
F (0.5000, 0.0000, 0.5000)

Summary:
The value obtained for the energy above the most stable polymorph in this dataset is 0 meV per atom.

=====

19.
The following is a PBE with a Hubbard U calculation of a geometry-optimized MoOsNF2 structure, from the Alexandria database.

Cell: 4.1568 4.1568 4.2153 Å, 90.00 90.00 90.00°
Sites, in units of the cell vectors:
Mo (0.0000, 0.0000, 0.0000)
Os (0.5000, 0.5000, 0.5000)
N (0.0000, 0.0000, 0.5000)
F (0.0000, 0.5000, 0.0000)
F (0.5000, 0.0000, 0.0000)

Summary:
The value obtained for the energy above the most stable polymorph in this dataset is 414 meV per atom.

=====

20.
The following is a PBE with a Hubbard U calculation of a geometry-optimized MoPNF2 structure, from the Alexandria database.

Cell: 4.2053 4.2053 4.1636 Å, 90.00 90.00 90.00°
Sites, in units of the cell vectors:
Mo (0.0000, 0.0000, 0.0000)
P (0.5000, 0.5000, 0.5000)
N (0.0000, 0.0000, 0.5000)
F (0.0000, 0.5000, 0.0000)
F (0.5000, 0.0000, 0.0000)

Summary:
The value obtained for the energy above the most stable polymorph in this dataset is 0 meV per atom.

=====

One value per record, in order, for magnetic moment: 1.0, 1.0, 4.0, 1.7, 3.0, 1.0, 0.1, 4.5, 0.2, 0.0, 2.0, 0.0, 0.0, 4.2, 1.7, 2.0, 3.5, 4.3, 6.0, 4.0 μB per formula unit.
One value per record, in order, for final energy: -5.01, -4.06, -4.95, -5.08, -4.78, -5.07, -4.92, -4.77, -4.92, -6.48, -5.59, -4.14, -5.81, -4.08, -4.15, -5.72, -4.84, -6.07, -5.65, -5.23 eV per atom.